Entry 1:
Here is an optimized crystal structure of RbUAgTe3 from OQMD. Energies are from PBE.

Space group = Cmcm (63)
VASP energy = -4.805 eV per atom

Lattice parameters (Å, degrees): 8.384 8.384 11.552 90.00 90.00 149.04
Last column: magnetic moment on the atom in μB.
Atoms (fractional coordinates):
Ag 0.040 0.960 0.250  -0.02
Ag 0.960 0.040 0.750  -0.02
Rb 0.747 0.253 0.250  0.00
Rb 0.253 0.747 0.750  0.00
Te 0.129 0.871 0.043  -0.07
Te 0.433 0.567 0.250  -0.07
Te 0.129 0.871 0.457  -0.07
Te 0.871 0.129 0.543  -0.07
Te 0.567 0.433 0.750  -0.07
Te 0.871 0.129 0.957  -0.07
U 0.500 0.500 0.000  2.22
U 0.500 0.500 0.500  2.22

=====

Entry 2:
Here is an optimized crystal structure of NaSiTcTe from OQMD. Energies are from PBE.

Space group = F-43m (216)
Energy above the most stable polymorph in this dataset = 0 kJ/mol of formula units

Lattice parameters (Å, degrees): 4.624 4.624 4.624 60.00 60.00 60.00
Atoms (fractional coordinates):
Na 0.750 0.750 0.750
Si 0.000 0.000 0.000
Tc 0.250 0.250 0.250
Te 0.500 0.500 0.500

=====

Entry 3:
Here is an optimized crystal structure of SmZrPO from OQMD. Energies are from PBE.

Space group = P4/nmm (129)
Energy above the most stable polymorph in this dataset = 0 kJ/mol of formula units

Lattice parameters (Å, degrees): 4.192 4.192 8.706 90.00 90.00 90.00
Atoms (fractional coordinates):
O 0.000 0.000 0.000
O 0.500 0.500 0.000
P 0.500 0.000 0.319
P 0.000 0.500 0.681
Sm 0.000 0.500 0.120
Sm 0.500 0.000 0.880
Zr 0.000 0.000 0.500
Zr 0.500 0.500 0.500

=====

Entry 4:
Here is an optimized crystal structure of Li2Cd3GaAu2 from OQMD. Energies are from PBE.

Space group = P-4m2 (115)
VASP energy = -2.346 eV per atom

Lattice parameters (Å, degrees): 4.639 4.639 6.604 90.00 90.00 90.00
Atoms (fractional coordinates):
Au 0.000 0.500 0.234
Au 0.500 0.000 0.766
Cd 0.500 0.500 0.000
Cd 0.000 0.000 0.500
Cd 0.500 0.500 0.500
Ga 0.000 0.000 0.000
Li 0.500 0.000 0.240
Li 0.000 0.500 0.760